(1)
HfCoBr3 | Alexandria via LeMat-Bulk | GGA-PBEsol | optimized geometry; symmetry = No. 221; formation energy from raw total energies = 0.331 eV/atom; calculated total energy = -22.2 eV per cell
1.0
4.696 0.000 0.000
0.000 4.696 0.000
0.000 0.000 4.696
Co Br Hf
1 3 1
direct
0.000 0.000 0.000
0.000 0.500 0.000
0.500 0.000 0.000
0.000 0.000 0.500
0.500 0.500 0.500


(2)
HfNiAsBr2 | Alexandria via LeMat-Bulk | GGA-PBEsol | optimized geometry; symmetry = No. 123; formation energy from raw total energies = 0.333 eV/atom; calculated total energy = -23.8 eV per cell
1.0
-1.829 0.472 4.699
0.690 -4.958 0.767
4.857 0.954 1.795
Ni As Hf Br
1 1 1 2
direct
0.500 0.500 0.500
0.000 0.000 0.500
0.000 0.000 0.000
0.000 0.500 0.000
0.500 0.000 0.000


(3)
TlReOs2F | Alexandria via LeMat-Bulk | GGA-PBEsol | optimized geometry; symmetry = No. 123; formation energy from raw total energies = 2.605 eV/atom; calculated total energy = -29.3 eV per cell
1.0
4.056 0.000 0.000
0.000 4.934 0.000
0.000 0.000 4.934
F Re Os Tl
1 1 2 1
direct
0.500 0.000 0.000
0.500 0.500 0.500
0.000 0.000 0.500
0.000 0.500 0.000
0.000 0.000 0.000


(4)
Ba2InPd2 | Alexandria via LeMat-Bulk | GGA-PBEsol | optimized geometry; symmetry = No. 127; calculated total energy = -43.1 eV per cell
1.0
4.583 0.000 0.000
0.000 7.709 0.000
0.000 0.000 7.709
Ba In Pd
4 2 4
direct
0.500 0.675 0.825
0.500 0.175 0.675
0.500 0.825 0.325
0.500 0.325 0.175
0.000 0.000 0.000
0.000 0.500 0.500
0.000 0.872 0.628
0.000 0.628 0.128
0.000 0.128 0.372
0.000 0.372 0.872


Number 1: N(E_F) 4.8 states/eV/cell. Number 2: N(E_F) 6.8 states/eV/cell. Number 3: N(E_F) 6.6 states/eV/cell. Number 4: N(E_F) 5.2 states/eV/cell.